# CrPbO2 | the Alexandria database | PBE+U | optimized geometry
# ρ in g/cm³: 7.01
# Total energy in eV per atom: -6.31
# Total magnetic moment in μB per formula unit: 3.95
data_CrPbO2
_cell_length_a 5.083
_cell_length_b 5.083
_cell_length_c 10.676
_cell_angle_alpha 90.00
_cell_angle_beta 90.00
_cell_angle_gamma 90.00
_space_group_name_H-M_alt 'I -4 2 d'
_space_group_IT_number 122
_space_group_name_Hall 'I -4 2bw'
loop_
_atom_site_label
_atom_site_type_symbol
_atom_site_fract_x
_atom_site_fract_y
_atom_site_fract_z
_atom_site_occupancy
Cr1 Cr 0.000 0.000 0.000 1
Pb1 Pb 0.000 0.000 0.500 1
O1 O 0.168 0.250 0.125 1